1.
Computed, not measured: an optimized crystal structure of MgBePd2Pt at the PBE-GGA level of DFT.

a = 4.2332 Å, b = 4.2332 Å, c = 4.2596 Å
α = 90.00°, β = 90.00°, γ = 90.00°
Closest atoms and distances in Å follow each position.
Space group P4/mmm (No. 123)
Unique sites:
Mg: 0.0000 0.0000 0.0000 x1  4 Pt 2.99, 8 Pd 3.00
Be: 0.5000 0.5000 0.5000 x1  4 Pd 2.12, 2 Pt 2.13
Pd: 0.0000 0.5000 0.5000 x2  2 Be 2.12
Pt: 0.5000 0.5000 0.0000 x1  2 Be 2.13

Properties
- theoretical density (g/cm3) = 9.60
- N(E_F) (states/eV/f.u.) = 0.9
- energy (eV/atom) = -4.8141

***

2.
Computed, not measured: an optimized crystal structure of MgPS2N at the PBE-GGA level of DFT.

a = 4.8506 Å, b = 4.8506 Å, c = 3.9095 Å
α = 90.00°, β = 90.00°, γ = 90.00°
Closest atoms and distances in Å follow each position.
Space group P4/mmm (No. 123)
Unique sites:
Mg: 0.0000 0.0000 0.0000 x1  2 N 1.95
P: 0.5000 0.5000 0.5000 x1  8 S 3.11, 4 N 3.43
S: 0.0000 0.5000 0.0000 x2  2 Mg 2.43
N: 0.0000 0.0000 0.5000 x1  2 Mg 1.95

Properties
- energy relative to the lowest polymorph listed for this composition (eV per formula unit) = 5.057
- theoretical density (g/cm3) = 2.41
- N(E_F) (states/eV/f.u.) = 3.1
- formation energy (no corrections) (meV per atom) = 1079
- energy (eV/atom) = -3.6382

***

3.
Computed, not measured: an optimized crystal structure of Na2LaPb2 at the PBE-GGA level of DFT.

a = 9.2759 Å, b = 9.2759 Å, c = 3.3711 Å
α = 90.00°, β = 90.00°, γ = 90.00°
Closest atoms and distances in Å follow each position.
Space group P4/mbm (No. 127)
Unique sites:
Na: 0.1132 0.3868 0.0000 x4  1 Na 2.97, 6 Pb 3.14-3.31
La: 0.0000 0.0000 0.0000 x2  2 La 3.37, 4 Na 3.74
Pb: 0.1850 0.6850 0.5000 x4  6 Na 3.14-3.31, 2 Pb 3.37

Properties
- energy relative to the lowest polymorph listed for this composition (eV per formula unit) = 0.200
- theoretical density (g/cm3) = 6.86
- N(E_F) (states/eV/f.u.) = 2.5
- energy (eV/atom) = -3.2299

***

4.
Computed, not measured: an optimized crystal structure of Ta2SbAu at the PBE-GGA level of DFT.

a = 3.0829 Å, b = 3.0829 Å, c = 29.4458 Å
α = 90.00°, β = 90.00°, γ = 120.00°
Closest atoms and distances in Å follow each position.
Space group R3m (No. 160, hexagonal axes)
Unique sites:
Ta: 0.0000 0.0000 0.0000 x3  3 Sb 2.96, 9 Ta 3.01-3.08
Ta: 0.0000 0.0000 0.2509 x3  3 Au 2.85, 9 Ta 3.01-3.08
Sb: 0.0000 0.0000 0.7471 x3  3 Ta 2.96, 6 Sb 3.08, 3 Au 3.32
Au: 0.0000 0.0000 0.5088 x3  3 Ta 2.85, 6 Au 3.08

Properties
- theoretical density (g/cm3) = 13.99
- N(E_F) (states/eV/f.u.) = 3.6
- formation energy (no corrections) (meV per atom) = 213
- energy (eV/atom) = -7.5630